A plane-wave DFT calculation with GGA-PBE was carried out for an optimized crystal structure of AsPtCl2.

Lattice parameters (Å, degrees): 8.6463 8.6463 8.6463 22.68 22.68 22.68
Positions (direct):
1 As 0.0000 0.0000 0.0000
2 Pt 0.5000 0.5000 0.5000
3 Cl 0.9019 0.9019 0.9019
4 Cl 0.0981 0.0981 0.0981

Raw formation energy (meV/atom): 392
Polymorph energy (0 for the lowest one) (eV per formula unit): 3.484
Magnetization (μB per formula unit): 0.00

=====

A plane-wave DFT calculation with GGA-PBE was carried out for an optimized crystal structure of AsPt2Cl.

Lattice parameters (Å, degrees): 3.1717 3.4930 7.1953 90.00 90.00 90.00
Positions (direct):
1 As 0.0000 0.0000 0.3978
2 Pt 0.0000 0.0000 0.0381
3 Pt 0.5000 0.5000 0.2506
4 Cl 0.5000 0.5000 0.8135

Raw formation energy (meV/atom): 63
Polymorph energy (0 for the lowest one) (eV per formula unit): 1.036
Magnetization (μB per formula unit): 0.00

=====

A plane-wave DFT calculation with GGA-PBE was carried out for an optimized crystal structure of AsPtCl2.

Lattice parameters (Å, degrees): 3.0016 3.9949 6.1708 90.00 90.00 90.00
Positions (direct):
1 As 0.5000 0.5000 0.7500
2 Pt 0.5000 0.5000 0.2500
3 Cl 0.0000 0.0000 0.0043
4 Cl 0.0000 0.0000 0.4957

Raw formation energy (meV/atom): 671
Polymorph energy (0 for the lowest one) (eV per formula unit): 4.600
Magnetization (μB per formula unit): 0.00

=====

A plane-wave DFT calculation with GGA-PBE was carried out for an optimized crystal structure of AsPt2Cl2.

Lattice parameters (Å, degrees): 6.9229 6.9229 4.6410 90.00 90.00 90.00
Positions (direct):
1 As 0.0000 0.0000 0.0000
2 As 0.5000 0.5000 0.0000
3 Pt 0.2308 0.7308 0.0000
4 Pt 0.7308 0.7692 0.0000
5 Pt 0.7692 0.2692 0.0000
6 Pt 0.2692 0.2308 0.0000
7 Cl 0.1695 0.6695 0.5000
8 Cl 0.6695 0.8305 0.5000
9 Cl 0.8305 0.3305 0.5000
10 Cl 0.3305 0.1695 0.5000

Raw formation energy (meV/atom): 52
Polymorph energy (0 for the lowest one) (eV per formula unit): 0.000
Magnetization (μB per formula unit): 0.00

=====

Look up the polymorph energy (0 for the lowest one) of the first one. 3.484 eV per formula unit

=====

What is the raw formation energy in the second record? 63 meV/atom

=====

raw formation energy of number 2 (AsPt2Cl)? 63 meV/atom